[1]
Computed, not measured: a geometry-optimized SiRh5 structure at the GGA-PBE level of DFT.

a b c (Å): 2.786 2.786 10.688
angles (deg): 90.00 90.00 90.00
Atoms (fractional coordinates):
Rh: 0.000 0.000 0.862
Rh: 0.500 0.500 0.328
Rh: 0.500 0.500 0.672
Rh: 0.000 0.000 0.138
Rh: 0.000 0.000 0.500
Si: 0.500 0.500 0.000

offset from the most stable computed form	0.0000	eV/atom
space group	P4/mmm (123)
energy relative to the elements, uncorrected	-1.62	eV per formula unit


[2]
Computed, not measured: a geometry-optimized LiAc2Si4Au3 structure at the GGA-PBE level of DFT.

a b c (Å): 4.453 4.453 10.483
angles (deg): 90.00 90.00 90.00
Atoms (fractional coordinates):
Si: 0.500 0.000 0.633
Si: 0.000 0.500 0.367
Si: 0.500 0.500 0.000
Si: 0.000 0.000 0.000
Au: 0.000 0.000 0.500
Au: 0.500 0.000 0.878
Au: 0.000 0.500 0.122
Li: 0.500 0.500 0.500
Ac: 0.500 0.000 0.250
Ac: 0.000 0.500 0.750

space group	P-4m2 (115)
energy relative to the elements, uncorrected	-5.79	eV per formula unit


[3]
Computed, not measured: a geometry-optimized SrCa2AuO structure at the GGA-PBE level of DFT.

a b c (Å): 4.732 4.732 5.289
angles (deg): 90.00 90.00 90.00
Atoms (fractional coordinates):
Ca: 0.000 0.500 0.000
Ca: 0.500 0.000 0.000
Sr: 0.000 0.000 0.500
O: 0.000 0.000 0.000
Au: 0.500 0.500 0.500

space group	P4/mmm (123)
energy relative to the elements, uncorrected	-7.13	eV per formula unit


[4]
Computed, not measured: a geometry-optimized LiBeI structure at the GGA-PBE level of DFT.

a b c (Å): 4.056 4.060 9.939
angles (deg): 91.47 94.54 118.78
Atoms (fractional coordinates):
Be: 0.158 0.323 0.464
Be: 0.842 0.677 0.536
Li: 0.463 0.963 0.355
Li: 0.537 0.037 0.645
I: 0.915 0.727 0.786
I: 0.085 0.273 0.214

offset from the most stable computed form	0.0000	eV/atom
space group	P-1 (2)
energy relative to the elements, uncorrected	-0.78	eV per formula unit


[5]
Computed, not measured: a geometry-optimized Ce2Pm4Ge3O2 structure at the GGA-PBE level of DFT.

a b c (Å): 4.694 4.694 12.673
angles (deg): 100.67 100.67 90.00
Each line ends with the local moment (μB).
Atoms (fractional coordinates):
O: 0.397 0.397 0.794  -0.01
O: 0.603 0.603 0.206  -0.01
Ge: 0.000 0.000 0.000  -0.01
Ge: 0.825 0.825 0.650  -0.03
Ge: 0.175 0.175 0.350  -0.03
Pm: 0.079 0.579 0.159  0.00
Pm: 0.421 0.921 0.841  0.00
Pm: 0.579 0.079 0.159  0.00
Pm: 0.921 0.421 0.841  0.00
Ce: 0.302 0.302 0.604  0.78
Ce: 0.698 0.698 0.396  0.78

space group	I4/mmm (139)
energy relative to the elements, uncorrected	-16.11	eV per formula unit


[6]
Computed, not measured: a geometry-optimized Ac2PmCd structure at the GGA-PBE level of DFT.

a b c (Å): 5.895 5.895 5.895
angles (deg): 60.00 60.00 60.00
Atoms (fractional coordinates):
Pm: 0.000 0.000 0.000
Ac: 0.750 0.750 0.750
Ac: 0.250 0.250 0.250
Cd: 0.500 0.500 0.500

offset from the most stable computed form	0.1257	eV/atom
space group	Fm-3m (225)
DFT formation energy	-6	meV per atom


[7]
Computed, not measured: a geometry-optimized RbSrRhPb2 structure at the GGA-PBE level of DFT.

a b c (Å): 5.478 5.478 5.677
angles (deg): 90.00 90.00 90.00
Atoms (fractional coordinates):
Rb: 0.500 0.500 0.500
Pb: 0.000 0.500 0.000
Pb: 0.500 0.000 0.000
Sr: 0.000 0.000 0.500
Rh: 0.000 0.000 0.000

space group	P4/mmm (123)
DFT formation energy	-140	meV per atom


[8]
Computed, not measured: a geometry-optimized Ba2LiLa structure at the GGA-PBE level of DFT.

a b c (Å): 4.085 4.125 11.303
angles (deg): 68.55 90.00 90.00
Atoms (fractional coordinates):
Ba: 0.000 0.026 0.973
Ba: 0.000 0.474 0.527
Li: 0.500 0.750 0.750
La: 0.500 0.250 0.250

offset from the most stable computed form	0.0202	eV/atom
space group	P2/m (10)
DFT formation energy	149	meV per atom


[9]
Computed, not measured: a geometry-optimized CsScAlSe4 structure at the GGA-PBE level of DFT.

a b c (Å): 6.853 6.352 9.999
angles (deg): 90.00 107.96 90.00
Atoms (fractional coordinates):
Sc: 0.229 0.250 0.550
Sc: 0.771 0.750 0.450
Cs: 0.753 0.750 0.951
Cs: 0.247 0.250 0.049
Se: 0.986 0.011 0.314
Se: 0.014 0.989 0.686
Se: 0.541 0.250 0.801
Se: 0.478 0.750 0.582
Se: 0.459 0.750 0.199
Se: 0.522 0.250 0.418
Se: 0.986 0.489 0.314
Se: 0.014 0.511 0.686
Al: 0.257 0.750 0.349
Al: 0.743 0.250 0.651

space group	P2_1/m (11)
energy relative to the elements, uncorrected	-8.06	eV per formula unit


[10]
Computed, not measured: a geometry-optimized La2ZrMo2 structure at the GGA-PBE level of DFT.

a b c (Å): 6.492 6.492 6.492
angles (deg): 138.21 138.21 60.58
Atoms (fractional coordinates):
La: 0.628 0.628 0.000
La: 0.372 0.372 0.000
Mo: 0.250 0.750 0.500
Mo: 0.750 0.250 0.500
Zr: 0.000 0.000 0.000

offset from the most stable computed form	0.6929	eV/atom
space group	I4/mmm (139)
DFT formation energy	1103	meV per atom


[11]
Computed, not measured: a geometry-optimized PmMnNbN3 structure at the GGA-PBE level of DFT.

a b c (Å): 3.164 6.927 7.292
angles (deg): 105.54 90.00 90.00
Atoms (fractional coordinates):
N: 0.750 0.191 0.492
N: 0.250 0.809 0.508
N: 0.250 0.560 0.849
N: 0.250 0.120 0.865
N: 0.750 0.440 0.151
N: 0.750 0.880 0.135
Mn: 0.250 0.100 0.598
Mn: 0.750 0.900 0.402
Nb: 0.750 0.338 0.848
Nb: 0.250 0.662 0.152
Pm: 0.750 0.807 0.788
Pm: 0.250 0.193 0.212

space group	P2_1/m (11)
energy relative to the elements, uncorrected	-5.52	eV per formula unit


[12]
Computed, not measured: a geometry-optimized PmTmInIr structure at the GGA-PBE level of DFT.

a b c (Å): 5.111 5.111 5.111
angles (deg): 60.00 60.00 60.00
Atoms (fractional coordinates):
Pm: 0.750 0.750 0.750
Ir: 0.000 0.000 0.000
Tm: 0.250 0.250 0.250
In: 0.500 0.500 0.500

space group	F-43m (216)
DFT formation energy	-504	meV per atom